(1)
! Sm2Si2Ag | the Alexandria database | GGA-PBE | optimized geometry; values from VASP
&SYSTEM
  ibrav = 0, nat = 10, ntyp = 3
/
ATOMIC_SPECIES
Sm 150.36 Sm.upf
Si 28.09 Si.upf
Ag 107.87 Ag.upf
ATOMIC_POSITIONS crystal
Sm 0.0021 0.0021 0.3215
Sm 0.1882 0.1882 0.1018
Sm 0.8118 0.8118 0.8982
Sm 0.9979 0.9979 0.6785
Si 0.3738 0.3738 0.4328
Si 0.4804 0.4804 0.1080
Si 0.5196 0.5196 0.8920
Si 0.6262 0.6262 0.5672
Ag 0.2751 0.2751 0.6393
Ag 0.7249 0.7249 0.3607
CELL_PARAMETERS angstrom
5.4657 -2.1852 0.0000
5.4657 2.1852 0.0000
-4.9004 0.0000 9.2008
! SG = C2/m
! E_form (uncorrected) = -0.621 eV per atom
! total moment = 0.88 Bohr magnetons per cell
! distance to the lowest polymorph of the same formula = 0.00 eV per formula unit

***

(2)
! SmSi2Ag | the Alexandria database | GGA-PBE | optimized geometry; values from VASP
&SYSTEM
  ibrav = 0, nat = 32, ntyp = 3
/
ATOMIC_SPECIES
Sm 150.36 Sm.upf
Si 28.09 Si.upf
Ag 107.87 Ag.upf
ATOMIC_POSITIONS crystal
Sm 0.0531 0.2500 0.2415
Sm 0.1959 0.7500 0.9643
Sm 0.3041 0.2500 0.4643
Sm 0.4469 0.7500 0.7415
Sm 0.5531 0.2500 0.2585
Sm 0.6959 0.7500 0.5357
Sm 0.8041 0.2500 0.0357
Sm 0.9469 0.7500 0.7585
Si 0.0291 0.2500 0.9650
Si 0.1098 0.2500 0.7775
Si 0.1314 0.7500 0.4473
Si 0.2137 0.7500 0.2616
Si 0.2863 0.2500 0.7616
Si 0.3686 0.2500 0.9473
Si 0.3902 0.7500 0.2775
Si 0.4709 0.7500 0.4650
Si 0.5291 0.2500 0.5350
Si 0.6098 0.2500 0.7225
Si 0.6314 0.7500 0.0527
Si 0.7137 0.7500 0.2384
Si 0.7863 0.2500 0.7384
Si 0.8686 0.2500 0.5527
Si 0.8902 0.7500 0.2225
Si 0.9709 0.7500 0.0350
Ag 0.0603 0.2500 0.5527
Ag 0.2047 0.7500 0.6646
Ag 0.2953 0.2500 0.1646
Ag 0.4397 0.7500 0.0527
Ag 0.5603 0.2500 0.9473
Ag 0.7047 0.7500 0.8354
Ag 0.7953 0.2500 0.3354
Ag 0.9397 0.7500 0.4473
CELL_PARAMETERS angstrom
13.6601 0.0000 0.0000
0.0000 4.2128 0.0000
0.0000 0.0000 10.9006
! SG = Pnma
! E_form (uncorrected) = -0.477 eV per atom
! total moment = 0.00 Bohr magnetons per cell

***

(3)
! Sm6Si2Ag | the Alexandria database | GGA-PBE | optimized geometry; values from VASP
&SYSTEM
  ibrav = 0, nat = 18, ntyp = 3
/
ATOMIC_SPECIES
Sm 150.36 Sm.upf
Si 28.09 Si.upf
Ag 107.87 Ag.upf
ATOMIC_POSITIONS crystal
Sm 0.0282 0.8254 0.2028
Sm 0.2495 0.5508 0.3012
Sm 0.2495 0.9483 0.6988
Sm 0.2687 0.3248 0.5934
Sm 0.2687 0.6752 0.9439
Sm 0.3774 0.1746 0.2028
Sm 0.6226 0.8254 0.7972
Sm 0.7313 0.3248 0.0561
Sm 0.7313 0.6752 0.4066
Sm 0.7505 0.0517 0.3012
Sm 0.7505 0.4492 0.6988
Sm 0.9718 0.1746 0.7972
Si 0.0000 0.1397 0.1397
Si 0.0000 0.8603 0.8603
Si 0.3839 0.3839 0.0000
Si 0.6161 0.6161 0.0000
Ag 0.0000 0.5000 0.5000
Ag 0.5000 0.0000 0.5000
CELL_PARAMETERS angstrom
-4.9269 4.9293 5.1309
4.9269 -4.9293 5.1309
4.9269 4.9293 -5.1309
! SG = Immm
! E_form (uncorrected) = -0.411 eV per atom
! total moment = 0.00 Bohr magnetons per cell

***

(4)
! Sm6Si3Ag | the Alexandria database | GGA-PBE | optimized geometry; values from VASP
&SYSTEM
  ibrav = 0, nat = 20, ntyp = 3
/
ATOMIC_SPECIES
Sm 150.36 Sm.upf
Si 28.09 Si.upf
Ag 107.87 Ag.upf
ATOMIC_POSITIONS crystal
Sm 0.0477 0.0821 0.2443
Sm 0.0477 0.4179 0.7443
Sm 0.2194 0.6811 0.0709
Sm 0.2194 0.8189 0.5709
Sm 0.3985 0.1716 0.0708
Sm 0.3985 0.3284 0.5708
Sm 0.6015 0.6716 0.4292
Sm 0.6015 0.8284 0.9292
Sm 0.7806 0.1811 0.4291
Sm 0.7806 0.3189 0.9291
Sm 0.9523 0.5821 0.2557
Sm 0.9523 0.9179 0.7557
Si 0.0000 0.0000 0.0000
Si 0.0000 0.5000 0.5000
Si 0.3102 0.1170 0.7583
Si 0.3102 0.3830 0.2583
Si 0.6898 0.6170 0.7417
Si 0.6898 0.8830 0.2417
Ag 0.5000 0.0000 0.5000
Ag 0.5000 0.5000 0.0000
CELL_PARAMETERS angstrom
7.1579 0.0000 0.0000
0.0000 8.0004 0.0000
-6.7298 0.0000 9.9981
! SG = P2_1/c
! E_form (uncorrected) = -0.356 eV per atom
! total moment = 0.00 Bohr magnetons per cell